1.
{"formula": "Er2ThPt", "functional": "GGA-PBE", "state": "optimized geometry", "lattice": [[-0.3594, 2.2650, 2.6721], [-3.4805, 0.0722, -0.5293], [-0.9417, -6.4208, 5.3158]], "species": ["Pt", "Th", "Er", "Er"], "fractional_positions": [[0.5000, 0.5000, 0.0000], [0.5000, 0.5000, 0.5000], [0.0000, 0.0000, 0.1963], [0.0000, 0.0000, 0.8037]], "formation_energy_mev_per_atom": -618, "dos_at_fermi_per_ev_cell": 4.4, "total_energy_ev_per_atom": -6.265, "magmom_total_mub_per_fu": 0.001, "de_polymorph_ev_per_atom": 0.049}



2.
{"formula": "Sr2Sn4Pt3Au", "functional": "GGA-PBE", "state": "optimized geometry", "lattice": [[4.7101, 0.0000, 0.0000], [0.0000, 4.7101, 0.0000], [0.0000, 0.0000, 10.8700]], "species": ["Sn", "Sn", "Sn", "Sn", "Au", "Pt", "Pt", "Pt", "Sr", "Sr"], "fractional_positions": [[0.5000, 0.5000, 0.0000], [0.0000, 0.0000, 0.0000], [0.0000, 0.5000, 0.3708], [0.5000, 0.0000, 0.6292], [0.5000, 0.5000, 0.5000], [0.5000, 0.0000, 0.8744], [0.0000, 0.0000, 0.5000], [0.0000, 0.5000, 0.1256], [0.5000, 0.0000, 0.2544], [0.0000, 0.5000, 0.7456]], "formation_energy_mev_per_atom": -744, "dos_at_fermi_per_ev_cell": 3.8, "total_energy_ev_per_atom": -4.821, "magmom_total_mub_per_fu": 0.000}



Q: Which formula does entry 2 have?
A: Sr2Sn4Pt3Au